Entry from Alexandria via LeMat-Bulk: an optimized crystal structure of KZr2Mo (PBE).

Lattice parameters (Å, degrees): 4.4604 4.4604 8.8319 86.56 86.56 42.05
Closest atoms and distances in Å follow each position.
Element x y z (fractional)
K: 0.7500 0.7500 0.7500  2 K 3.20
Mo: 0.2500 0.2500 0.2500  6 Zr 2.68-2.77
Zr: 0.9800 0.9800 0.0994  3 Mo 2.68-2.77
Zr: 0.5200 0.5200 0.4006  3 Mo 2.68-2.77

Calculated values
The value obtained for the formation energy is 2.2 eV/f.u. The value obtained for the uncorrected energy is -6.70 eV/atom. For the energy above the most stable polymorph in this dataset, the calculation gives 271 meV/atom.